This record from Alexandria describes a geometry-optimized Th2TlInIr structure. The functional is PBE-GGA.

Space-group type   P2_1/m, No. 11
Energy of formation from the pure elements   -0.409 eV per atom
Uncorrected energy   -61.70 eV for the cell shown
Fermi-level density of states   8.1 states/eV/cell

a b c (Å): 3.979 8.523 9.191
angles (deg): 109.86 90.00 90.00
Element x y z (fractional)
Th 0.250 0.119 0.396
Ir 0.750 0.144 0.197
Tl 0.750 0.303 0.749
In 0.250 0.523 0.642
In 0.750 0.477 0.358
Th 0.750 0.789 0.989
Th 0.750 0.881 0.604
Tl 0.250 0.697 0.251
Th 0.250 0.211 0.011
Ir 0.250 0.856 0.803

---

This record from Alexandria describes a geometry-optimized Th2ZnInIr structure. The functional is PBE-GGA.

Space-group type   Pmmn, No. 59
Energy of formation from the pure elements   -0.524 eV per atom
Uncorrected energy   -60.67 eV for the cell shown
Fermi-level density of states   8.9 states/eV/cell

a b c (Å): 4.419 6.316 8.612
angles (deg): 90.01 90.00 90.00
Element x y z (fractional)
Zn 0.750 0.455 0.250
Th 0.750 0.772 0.954
Ir 0.250 0.961 0.750
Th 0.250 0.228 0.046
In 0.750 0.272 0.750
In 0.250 0.728 0.250
Ir 0.750 0.039 0.250
Th 0.250 0.228 0.454
Th 0.750 0.772 0.546
Zn 0.250 0.545 0.750

---

This record from Alexandria describes a geometry-optimized Ti2In2Ir structure. The functional is PBE-GGA.

Space-group type   P4/mbm, No. 127
Relative energy among the computed polymorphs   0 meV per atom
Energy of formation from the pure elements   0.033 eV per atom
Uncorrected energy   -59.93 eV for the cell shown
Fermi-level density of states   11.2 states/eV/cell

a b c (Å): 6.928 6.928 3.927
angles (deg): 90.00 90.00 90.00
Element x y z (fractional)
Ti 0.665 0.835 0.500
Ti 0.335 0.165 0.500
Ir 0.000 0.000 0.000
Ti 0.165 0.665 0.500
In 0.859 0.641 0.000
Ti 0.835 0.335 0.500
Ir 0.500 0.500 0.000
In 0.141 0.359 0.000
In 0.359 0.859 0.000
In 0.641 0.141 0.000